1.
SiBP2 | PBE | relaxed

Space group: R-3m, No. 166
Uncorrected formation energy, eV per atom: 0.37
V, Å³/atom: 17.16
Excess energy over the best structure of this formula in the dataset, meV/atom: 381.3

CIF file:
```
data_SiBP2
_cell_length_a 6.3816
_cell_length_b 6.3816
_cell_length_c 6.3816
_cell_angle_alpha 33.01
_cell_angle_beta 33.01
_cell_angle_gamma 33.01
_symmetry_space_group_name_H-M 'P 1'
_symmetry_Int_Tables_number 1
loop_
_symmetry_equiv_pos_as_xyz
'x,y,z'
loop_
_atom_site_label
_atom_site_type_symbol
_atom_site_fract_x
_atom_site_fract_y
_atom_site_fract_z
Si1 Si 0.0000 0.0000 0.0000
B1 B 0.5000 0.5000 0.5000
P1 P 0.4012 0.4012 0.4012
P2 P 0.5988 0.5988 0.5988
```



2.
Tb4ErTm7 | PBE | relaxed

Space group: C2/m, No. 12
Formation energy, eV/atom: 0.30
V, Å³/atom: 31.86
Excess energy over the best structure of this formula in the dataset, meV/atom: 207.2

CIF file:
```
data_Tb4ErTm7
_cell_length_a 6.6432
_cell_length_b 6.6432
_cell_length_c 12.5594
_cell_angle_alpha 115.32
_cell_angle_beta 115.32
_cell_angle_gamma 51.62
_symmetry_space_group_name_H-M 'P 1'
_symmetry_Int_Tables_number 1
loop_
_symmetry_equiv_pos_as_xyz
'x,y,z'
loop_
_atom_site_label
_atom_site_type_symbol
_atom_site_fract_x
_atom_site_fract_y
_atom_site_fract_z
Tb1 Tb 0.0587 0.0587 0.3269
Tb2 Tb 0.3636 0.3636 0.2242
Tb3 Tb 0.6364 0.6364 0.7758
Tb4 Tb 0.9413 0.9413 0.6731
Er1 Er 0.5000 0.5000 0.0000
Tm1 Tm 0.0000 0.0000 0.0000
Tm2 Tm 0.2123 0.2123 0.9244
Tm3 Tm 0.2509 0.2509 0.6850
Tm4 Tm 0.3640 0.3640 0.4967
Tm5 Tm 0.6360 0.6360 0.5033
Tm6 Tm 0.7491 0.7491 0.3150
Tm7 Tm 0.7877 0.7877 0.0756
```



3.
TbPm6Nd4 | PBE | relaxed

Space group: I-42m, No. 121
Formation energy, eV/atom: 0.28
V, Å³/atom: 35.62
Excess energy over the best structure of this formula in the dataset, meV/atom: 0.0

CIF file:
```
data_TbPm6Nd4
_cell_length_a 9.8282
_cell_length_b 9.8282
_cell_length_c 9.8282
_cell_angle_alpha 139.81
_cell_angle_beta 139.81
_cell_angle_gamma 58.15
_symmetry_space_group_name_H-M 'P 1'
_symmetry_Int_Tables_number 1
loop_
_symmetry_equiv_pos_as_xyz
'x,y,z'
loop_
_atom_site_label
_atom_site_type_symbol
_atom_site_fract_x
_atom_site_fract_y
_atom_site_fract_z
Tb1 Tb 0.0000 0.0000 0.0000
Pm1 Pm 0.0000 0.5000 0.5000
Pm2 Pm 0.1993 0.1993 0.6478
Pm3 Pm 0.4485 0.8007 0.0000
Pm4 Pm 0.5000 0.0000 0.5000
Pm5 Pm 0.5515 0.5515 0.3522
Pm6 Pm 0.8007 0.4485 0.0000
Nd1 Nd 0.0127 0.6338 0.0000
Nd2 Nd 0.3662 0.3662 0.3790
Nd3 Nd 0.6338 0.0127 0.0000
Nd4 Nd 0.9873 0.9873 0.6210
```



4.
La2TlSi | PBE | relaxed

Space group: P4mm, No. 99
Uncorrected formation energy, eV per atom: -0.04
V, Å³/atom: 29.43

CIF file:
```
data_La2TlSi
_cell_length_a 3.6291
_cell_length_b 3.6291
_cell_length_c 8.9395
_cell_angle_alpha 90.00
_cell_angle_beta 90.00
_cell_angle_gamma 90.00
_symmetry_space_group_name_H-M 'P 1'
_symmetry_Int_Tables_number 1
loop_
_symmetry_equiv_pos_as_xyz
'x,y,z'
loop_
_atom_site_label
_atom_site_type_symbol
_atom_site_fract_x
_atom_site_fract_y
_atom_site_fract_z
La1 La 0.0000 0.0000 0.0000
La2 La 0.5000 0.5000 0.3557
Tl1 Tl 0.5000 0.5000 0.7429
Si1 Si 0.0000 0.0000 0.5691
```



5.
Rb2GaFePt | PBE | relaxed

Space group: P4/mmm, No. 123
Formation energy, eV/atom: 0.93
V, Å³/atom: 36.69

CIF file:
```
data_Rb2GaFePt
_cell_length_a 6.2721
_cell_length_b 6.2721
_cell_length_c 4.6628
_cell_angle_alpha 90.00
_cell_angle_beta 90.00
_cell_angle_gamma 90.00
_symmetry_space_group_name_H-M 'P 1'
_symmetry_Int_Tables_number 1
loop_
_symmetry_equiv_pos_as_xyz
'x,y,z'
loop_
_atom_site_label
_atom_site_type_symbol
_atom_site_fract_x
_atom_site_fract_y
_atom_site_fract_z
Rb1 Rb 0.0000 0.5000 0.0000
Rb2 Rb 0.5000 0.0000 0.0000
Ga1 Ga 0.0000 0.0000 0.0000
Fe1 Fe 0.0000 0.0000 0.5000
Pt1 Pt 0.5000 0.5000 0.5000
```



6.
H2PdRh2Pb2 | PBE | relaxed

Space group: P-1, No. 2
V, Å³/atom: 15.35
VASP energy, eV per atom: -4.885

CIF file:
```
data_H2PdRh2Pb2
_cell_length_a 3.2590
_cell_length_b 5.5208
_cell_length_c 6.4677
_cell_angle_alpha 81.56
_cell_angle_beta 75.59
_cell_angle_gamma 73.00
_symmetry_space_group_name_H-M 'P 1'
_symmetry_Int_Tables_number 1
loop_
_symmetry_equiv_pos_as_xyz
'x,y,z'
loop_
_atom_site_label
_atom_site_type_symbol
_atom_site_fract_x
_atom_site_fract_y
_atom_site_fract_z
H1 H 0.0400 0.2223 0.1885
H2 H 0.9600 0.7777 0.8115
Pd1 Pd 0.0000 0.5000 0.0000
Rh1 Rh 0.4922 0.1947 0.3126
Rh2 Rh 0.5078 0.8053 0.6874
Pb1 Pb 0.2248 0.7430 0.3080
Pb2 Pb 0.7752 0.2570 0.6920
```



7.
PrAgHg2 | PBE | relaxed

Space group: P4/mmm, No. 123
Formation energy, eV/atom: -0.24
V, Å³/atom: 24.23

CIF file:
```
data_PrAgHg2
_cell_length_a 3.6168
_cell_length_b 3.6168
_cell_length_c 7.4085
_cell_angle_alpha 90.00
_cell_angle_beta 90.00
_cell_angle_gamma 90.00
_symmetry_space_group_name_H-M 'P 1'
_symmetry_Int_Tables_number 1
loop_
_symmetry_equiv_pos_as_xyz
'x,y,z'
loop_
_atom_site_label
_atom_site_type_symbol
_atom_site_fract_x
_atom_site_fract_y
_atom_site_fract_z
Pr1 Pr 0.0000 0.0000 0.0000
Ag1 Ag 0.0000 0.0000 0.5000
Hg1 Hg 0.5000 0.5000 0.2808
Hg2 Hg 0.5000 0.5000 0.7192
```



8.
AgAs4W | PBE | relaxed

Space group: F-43m, No. 216
Formation energy, eV/atom: 0.94
V, Å³/atom: 18.60

CIF file:
```
data_AgAs4W
_cell_length_a 5.4046
_cell_length_b 5.4046
_cell_length_c 5.4046
_cell_angle_alpha 60.00
_cell_angle_beta 60.00
_cell_angle_gamma 60.00
_symmetry_space_group_name_H-M 'P 1'
_symmetry_Int_Tables_number 1
loop_
_symmetry_equiv_pos_as_xyz
'x,y,z'
loop_
_atom_site_label
_atom_site_type_symbol
_atom_site_fract_x
_atom_site_fract_y
_atom_site_fract_z
Ag1 Ag 0.0000 0.0000 0.0000
As1 As 0.1280 0.6240 0.6240
As2 As 0.6240 0.1280 0.6240
As3 As 0.6240 0.6240 0.1280
As4 As 0.6240 0.6240 0.6240
W1 W 0.2500 0.2500 0.2500
```



9.
MnOs4 | PBE | relaxed

Space group: I4/m, No. 87
Formation energy, eV/atom: 0.10
V, Å³/atom: 13.90
Excess energy over the best structure of this formula in the dataset, meV/atom: 0.0

CIF file:
```
data_MnOs4
_cell_length_a 4.6788
_cell_length_b 4.6788
_cell_length_c 4.6788
_cell_angle_alpha 99.51
_cell_angle_beta 99.51
_cell_angle_gamma 132.02
_symmetry_space_group_name_H-M 'P 1'
_symmetry_Int_Tables_number 1
loop_
_symmetry_equiv_pos_as_xyz
'x,y,z'
loop_
_atom_site_label
_atom_site_type_symbol
_atom_site_fract_x
_atom_site_fract_y
_atom_site_fract_z
Mn1 Mn 0.0000 0.0000 0.0000
Os1 Os 0.2020 0.4039 0.6059
Os2 Os 0.4039 0.7980 0.2019
Os3 Os 0.5961 0.2020 0.7981
Os4 Os 0.7980 0.5961 0.3941
```



10.
Cs2CaHRh | PBE | relaxed

Space group: P4/mmm, No. 123
V, Å³/atom: 44.00
VASP energy, eV per atom: -2.503

CIF file:
```
data_Cs2CaHRh
_cell_length_a 6.5017
_cell_length_b 6.5017
_cell_length_c 5.2042
_cell_angle_alpha 90.00
_cell_angle_beta 90.00
_cell_angle_gamma 90.00
_symmetry_space_group_name_H-M 'P 1'
_symmetry_Int_Tables_number 1
loop_
_symmetry_equiv_pos_as_xyz
'x,y,z'
loop_
_atom_site_label
_atom_site_type_symbol
_atom_site_fract_x
_atom_site_fract_y
_atom_site_fract_z
Cs1 Cs 0.0000 0.5000 0.0000
Cs2 Cs 0.5000 0.0000 0.0000
Ca1 Ca 0.0000 0.0000 0.5000
H1 H 0.5000 0.5000 0.5000
Rh1 Rh 0.0000 0.0000 0.0000
```



11.
Tb3Si2Pt3 | PBE | relaxed

Space group: Pnma, No. 62
Uncorrected formation energy, eV per atom: -1.19
V, Å³/atom: 20.07

CIF file:
```
data_Tb3Si2Pt3
_cell_length_a 7.6478
_cell_length_b 14.9520
_cell_length_c 5.6159
_cell_angle_alpha 90.00
_cell_angle_beta 90.00
_cell_angle_gamma 90.00
_symmetry_space_group_name_H-M 'P 1'
_symmetry_Int_Tables_number 1
loop_
_symmetry_equiv_pos_as_xyz
'x,y,z'
loop_
_atom_site_label
_atom_site_type_symbol
_atom_site_fract_x
_atom_site_fract_y
_atom_site_fract_z
Tb1 Tb 0.0316 0.1092 0.1335
Tb2 Tb 0.0316 0.3908 0.1335
Tb3 Tb 0.1716 0.2500 0.6050
Tb4 Tb 0.3284 0.7500 0.1050
Tb5 Tb 0.4684 0.6092 0.6335
Tb6 Tb 0.4684 0.8908 0.6335
Tb7 Tb 0.5316 0.1092 0.3665
Tb8 Tb 0.5316 0.3908 0.3665
Tb9 Tb 0.6716 0.2500 0.8950
Tb10 Tb 0.8284 0.7500 0.3950
Tb11 Tb 0.9684 0.6092 0.8665
Tb12 Tb 0.9684 0.8908 0.8665
Si1 Si 0.1223 0.6043 0.3660
Si2 Si 0.1223 0.8957 0.3660
Si3 Si 0.3777 0.1043 0.8660
Si4 Si 0.3777 0.3957 0.8660
Si5 Si 0.6223 0.6043 0.1340
Si6 Si 0.6223 0.8957 0.1340
Si7 Si 0.8777 0.1043 0.6340
Si8 Si 0.8777 0.3957 0.6340
Pt1 Pt 0.1717 0.0380 0.5977
Pt2 Pt 0.1717 0.4620 0.5977
Pt3 Pt 0.1843 0.7500 0.5914
Pt4 Pt 0.3157 0.2500 0.0914
Pt5 Pt 0.3283 0.5380 0.0977
Pt6 Pt 0.3283 0.9620 0.0977
Pt7 Pt 0.6717 0.0380 0.9023
Pt8 Pt 0.6717 0.4620 0.9023
Pt9 Pt 0.6843 0.7500 0.9086
Pt10 Pt 0.8157 0.2500 0.4086
Pt11 Pt 0.8283 0.5380 0.4023
Pt12 Pt 0.8283 0.9620 0.4023
```



12.
Ba2TeBr | PBE | relaxed

Space group: F-43m, No. 216
Uncorrected formation energy, eV per atom: -0.93
V, Å³/atom: 35.65
Excess energy over the best structure of this formula in the dataset, meV/atom: 764.5

CIF file:
```
data_Ba2TeBr
_cell_length_a 5.8644
_cell_length_b 5.8644
_cell_length_c 5.8644
_cell_angle_alpha 60.00
_cell_angle_beta 60.00
_cell_angle_gamma 60.00
_symmetry_space_group_name_H-M 'P 1'
_symmetry_Int_Tables_number 1
loop_
_symmetry_equiv_pos_as_xyz
'x,y,z'
loop_
_atom_site_label
_atom_site_type_symbol
_atom_site_fract_x
_atom_site_fract_y
_atom_site_fract_z
Ba1 Ba 0.0000 0.0000 0.0000
Ba2 Ba 0.2500 0.2500 0.2500
Te1 Te 0.5000 0.5000 0.5000
Br1 Br 0.7500 0.7500 0.7500
```



Number 6 is which compound? H2PdRh2Pb2



The highest V belongs to which entry? Cs2CaHRh



Look up the V of the fifth one. 36.69 Å³/atom